Compound: Cs2CoWF6
Source: Alexandria
Functional: PBE+U
Structure: optimized geometry

Its calculated total energy is -0.356 Ry/atom.

Cell and atoms, written as CIF:
```
data_Cs2CoWF6
_chemical_formula_sum 'Cs4 Co2 W2 F12'
_cell_length_a 5.931
_cell_length_b 5.931
_cell_length_c 11.276
_cell_angle_alpha 90.00
_cell_angle_beta 90.00
_cell_angle_gamma 90.00
_space_group_name_H-M_alt 'I 4/m m m'
_space_group_IT_number 139
_space_group_name_Hall '-I 4 2'
loop_
_atom_site_label
_atom_site_type_symbol
_atom_site_fract_x
_atom_site_fract_y
_atom_site_fract_z
Cs1 Cs 0.000 0.500 0.250
Co1 Co 0.000 0.000 0.000
W1 W 0.000 0.000 0.500
F1 F 0.000 0.000 0.313
F2 F 0.246 0.246 0.000
```